# 1
# VCdB2 | the Alexandria database | GGA-PBE | relaxed
# Formation energy from the elements ... 0.9329 eV per atom
# ρ ... 6.03 g/cm3
# Total moment ... 0.00 μB/atom
# Calculated total energy ... -78.6 eV/cell
data_VCdB2
_chemical_formula_sum 'V4 Cd4 B8'
_space_group_name_H-M_alt 'I -4 2 d'
_space_group_IT_number 122
_space_group_name_Hall 'I -4 2bw'
_cell_length_a 5.929
_cell_length_b 5.929
_cell_length_c 5.800
_cell_angle_alpha 90.00
_cell_angle_beta 90.00
_cell_angle_gamma 90.00
loop_
_atom_site_label
_atom_site_fract_x
_atom_site_fract_y
_atom_site_fract_z
_atom_site_occupancy
V1 0.000 0.000 0.000 1
Cd1 0.000 0.000 0.500 1
B1 0.220 0.250 0.125 1


# 2
# TmGeSe3 | the Alexandria database | GGA-PBE | relaxed
# Energy relative to the elements, uncorrected ... -469 kJ/mol of formula units
# ρ ... 5.01 g/cm3
# Total moment ... 0.00 μB/atom
# Calculated total energy ... -97.6 eV/cell
data_TmGeSe3
_chemical_formula_sum 'Tm4 Ge4 Se12'
_space_group_name_H-M_alt 'A m a 2'
_space_group_IT_number 40
_cell_length_a 4.392
_cell_length_b 22.397
_cell_length_c 6.451
_cell_angle_alpha 90.00
_cell_angle_beta 90.00
_cell_angle_gamma 90.00
loop_
_space_group_symop_operation_xyz
'x,y,z'
'-x,-y,z'
'-x+1/2,y,z'
'x+1/2,-y,z'
'x,y+1/2,z+1/2'
'-x,-y+1/2,z+1/2'
'-x+1/2,y+1/2,z+1/2'
'x+1/2,-y+1/2,z+1/2'
loop_
_atom_site_label
_atom_site_fract_x
_atom_site_fract_y
_atom_site_fract_z
_atom_site_occupancy
Tm1 0.250 0.173 0.000 1
Ge1 0.250 0.381 0.922 1
Se1 0.250 0.080 0.297 1
Se2 0.250 0.279 0.751 1
Se3 0.250 0.381 0.302 1


# 3
# Ba2AlH6Au | the Alexandria database | GGA-PBE | relaxed
# ρ ... 5.00 g/cm3
# Total moment ... 0.00 μB/atom
# Calculated total energy ... -69.6 eV/cell
data_Ba2AlH6Au
_chemical_formula_sum 'Ba4 Al2 H12 Au2'
_space_group_name_H-M_alt 'C 1 2/m 1'
_space_group_IT_number 12
_cell_length_a 8.927
_cell_length_b 5.173
_cell_length_c 7.849
_cell_angle_alpha 90.00
_cell_angle_beta 112.26
_cell_angle_gamma 90.00
loop_
_space_group_symop_operation_xyz
'x,y,z'
'-x,-y,-z'
'-x,y,-z'
'x,-y,z'
'x+1/2,y+1/2,z'
'-x+1/2,-y+1/2,-z'
'-x+1/2,y+1/2,-z'
'x+1/2,-y+1/2,z'
loop_
_atom_site_label
_atom_site_fract_x
_atom_site_fract_y
_atom_site_fract_z
_atom_site_occupancy
Ba1 0.235 0.000 0.213 1
Al1 0.000 0.500 0.000 1
H1 0.043 0.254 0.874 1
H2 0.205 0.500 0.138 1
Au1 0.000 0.000 0.500 1


# 4
# RbU4Rh3S12 | the Alexandria database | GGA-PBE | relaxed
# Energy relative to the elements, uncorrected ... -1746 kJ/mol of formula units
# ρ ... 6.34 g/cm3
# Total moment ... 0.20 μB/atom
# Calculated total energy ... -271.6 eV/cell
data_RbU4Rh3S12
_chemical_formula_sum 'Rb2 U8 Rh6 S24'
_space_group_name_H-M_alt 'I m -3'
_space_group_IT_number 204
_space_group_name_Hall '-I 2 2 3'
_cell_length_a 9.677
_cell_length_b 9.677
_cell_length_c 9.677
_cell_angle_alpha 90.00
_cell_angle_beta 90.00
_cell_angle_gamma 90.00
loop_
_atom_site_label
_atom_site_fract_x
_atom_site_fract_y
_atom_site_fract_z
_atom_site_occupancy
Rb1 0.000 0.000 0.000 1
U1 0.250 0.250 0.250 1
Rh1 0.000 0.000 0.500 1
S1 0.000 0.164 0.320 1


# 5
# Nd5Si | the Alexandria database | GGA-PBE | relaxed
# Energy relative to the elements, uncorrected ... -65 kJ/mol of formula units
# ρ ... 6.89 g/cm3
# Total moment ... 0.00 μB/atom
# Calculated total energy ... -59.9 eV/cell
data_Nd5Si
_chemical_formula_sum 'Nd10 Si2'
_space_group_name_H-M_alt 'C m m m'
_space_group_IT_number 65
_space_group_name_Hall '-C 2 2'
_cell_length_a 4.797
_cell_length_b 15.471
_cell_length_c 4.864
_cell_angle_alpha 90.00
_cell_angle_beta 90.00
_cell_angle_gamma 90.00
loop_
_atom_site_label
_atom_site_fract_x
_atom_site_fract_y
_atom_site_fract_z
_atom_site_occupancy
Nd1 0.000 0.000 0.000 1
Nd2 0.000 0.154 0.500 1
Nd3 0.000 0.344 0.000 1
Si1 0.000 0.500 0.500 1


# 6
# Cr2RuPtN | the Alexandria database | GGA-PBE | relaxed
# Energy relative to the elements, uncorrected ... -82 kJ/mol of formula units
# ρ ... 11.44 g/cm3
# Total moment ... 0.37 μB/atom
# Calculated total energy ... -43.7 eV/cell
data_Cr2RuPtN
_chemical_formula_sum 'Cr2 Ru1 Pt1 N1'
_space_group_name_H-M_alt 'P 4/m m m'
_space_group_IT_number 123
_space_group_name_Hall '-P 4 2'
_cell_length_a 3.885
_cell_length_b 3.885
_cell_length_c 3.982
_cell_angle_alpha 90.00
_cell_angle_beta 90.00
_cell_angle_gamma 90.00
loop_
_atom_site_label
_atom_site_fract_x
_atom_site_fract_y
_atom_site_fract_z
_atom_site_occupancy
Cr1 0.000 0.500 0.000 1
Ru1 0.000 0.000 0.500 1
Pt1 0.500 0.500 0.500 1
N1 0.000 0.000 0.000 1


# 7
# AcThSi2 | the Alexandria database | GGA-PBE | relaxed
# Energy relative to the elements, uncorrected ... -224 kJ/mol of formula units
# ρ ... 8.14 g/cm3
# Total moment ... 0.00 μB/atom
# Calculated total energy ... -49.4 eV/cell
data_AcThSi2
_chemical_formula_sum 'Ac2 Th2 Si4'
_space_group_name_H-M_alt 'P m c 21'
_space_group_IT_number 26
_cell_length_a 4.068
_cell_length_b 6.173
_cell_length_c 8.369
_cell_angle_alpha 90.00
_cell_angle_beta 90.00
_cell_angle_gamma 90.00
loop_
_space_group_symop_operation_xyz
'x,y,z'
'-x,-y,z+1/2'
'-x,y,z'
'x,-y,z+1/2'
loop_
_atom_site_label
_atom_site_fract_x
_atom_site_fract_y
_atom_site_fract_z
_atom_site_occupancy
Ac1 0.000 0.126 0.000 1
Th1 0.500 0.373 0.360 1
Si1 0.000 0.386 0.641 1
Si2 0.500 0.157 0.710 1


# 8
# CuAsPb2 | the Alexandria database | GGA-PBE | relaxed
# Formation energy from the elements ... 0.2560 eV per atom
# ρ ... 9.74 g/cm3
# Total moment ... 0.00 μB/atom
# Calculated total energy ... -15.1 eV/cell
data_CuAsPb2
_chemical_formula_sum 'Cu1 As1 Pb2'
_space_group_name_H-M_alt 'P 1 2/m 1'
_space_group_IT_number 10
_cell_length_a 3.398
_cell_length_b 3.768
_cell_length_c 7.363
_cell_angle_alpha 90.00
_cell_angle_beta 90.37
_cell_angle_gamma 90.00
loop_
_space_group_symop_operation_xyz
'x,y,z'
'-x,-y,-z'
'-x,y,-z'
'x,-y,z'
loop_
_atom_site_label
_atom_site_fract_x
_atom_site_fract_y
_atom_site_fract_z
_atom_site_occupancy
Cu1 0.000 0.000 0.000 1
As1 0.000 0.000 0.500 1
Pb1 0.499 0.500 0.237 1


# 9
# Li5InSn4 | the Alexandria database | GGA-PBE | relaxed
# Formation energy from the elements ... -0.3113 eV per atom
# ρ ... 5.13 g/cm3
# Total moment ... 0.00 μB/atom
# Calculated total energy ... -31.4 eV/cell
data_Li5InSn4
_chemical_formula_sum 'Li5 In1 Sn4'
_space_group_name_H-M_alt 'P 4/m m m'
_space_group_IT_number 123
_space_group_name_Hall '-P 4 2'
_cell_length_a 3.365
_cell_length_b 3.365
_cell_length_c 17.833
_cell_angle_alpha 90.00
_cell_angle_beta 90.00
_cell_angle_gamma 90.00
loop_
_atom_site_label
_atom_site_fract_x
_atom_site_fract_y
_atom_site_fract_z
_atom_site_occupancy
Li1 0.000 0.000 0.000 1
Li2 0.000 0.000 0.203 1
Li3 0.000 0.000 0.403 1
In1 0.500 0.500 0.500 1
Sn1 0.500 0.500 0.099 1
Sn2 0.500 0.500 0.305 1


# 10
# LiTiRu2 | the Alexandria database | GGA-PBE | relaxed
# Formation energy from the elements ... 0.3053 eV per atom
# ρ ... 7.30 g/cm3
# Total moment ... 0.00 μB/atom
# Calculated total energy ... -108.6 eV/cell
data_LiTiRu2
_chemical_formula_sum 'Li4 Ti4 Ru8'
_space_group_name_H-M_alt 'I -4 2 d'
_space_group_IT_number 122
_space_group_name_Hall 'I -4 2bw'
_cell_length_a 6.621
_cell_length_b 6.621
_cell_length_c 5.332
_cell_angle_alpha 90.00
_cell_angle_beta 90.00
_cell_angle_gamma 90.00
loop_
_atom_site_label
_atom_site_fract_x
_atom_site_fract_y
_atom_site_fract_z
_atom_site_occupancy
Li1 0.000 0.000 0.000 1
Ti1 0.000 0.000 0.500 1
Ru1 0.249 0.250 0.125 1


# 11
# Tm4BePd3 | the Alexandria database | GGA-PBE | relaxed
# Formation energy from the elements ... -0.7095 eV per atom
# ρ ... 9.79 g/cm3
# Total moment ... 0.00 μB/atom
# Calculated total energy ... -42.9 eV/cell
data_Tm4BePd3
_chemical_formula_sum 'Tm4 Be1 Pd3'
_space_group_name_H-M_alt 'P m m 2'
_space_group_IT_number 25
_cell_length_a 3.710
_cell_length_b 4.371
_cell_length_c 10.505
_cell_angle_alpha 90.00
_cell_angle_beta 90.00
_cell_angle_gamma 90.00
loop_
_space_group_symop_operation_xyz
'x,y,z'
'-x,-y,z'
'-x,y,z'
'x,-y,z'
loop_
_atom_site_label
_atom_site_fract_x
_atom_site_fract_y
_atom_site_fract_z
_atom_site_occupancy
Tm1 0.000 0.000 0.000 1
Tm2 0.000 0.500 0.277 1
Tm3 0.500 0.000 0.496 1
Tm4 0.500 0.500 0.779 1
Be1 0.500 0.000 0.208 1
Pd1 0.000 0.000 0.727 1
Pd2 0.000 0.500 0.552 1
Pd3 0.500 0.500 0.071 1


# 12
# InSi2Sb | the Alexandria database | GGA-PBE | relaxed
# Energy relative to the elements, uncorrected ... 181 kJ/mol of formula units
# ρ ... 5.35 g/cm3
# Total moment ... 0.00 μB/atom
# Calculated total energy ... -15.8 eV/cell
data_InSi2Sb
_chemical_formula_sum 'In1 Si2 Sb1'
_space_group_name_H-M_alt 'P 4/m m m'
_space_group_IT_number 123
_space_group_name_Hall '-P 4 2'
_cell_length_a 3.667
_cell_length_b 3.667
_cell_length_c 6.754
_cell_angle_alpha 90.00
_cell_angle_beta 90.00
_cell_angle_gamma 90.00
loop_
_atom_site_label
_atom_site_fract_x
_atom_site_fract_y
_atom_site_fract_z
_atom_site_occupancy
In1 0.000 0.000 0.000 1
Si1 0.500 0.500 0.302 1
Sb1 0.000 0.000 0.500 1